[1]
DFT (GGA-PBE) results for a relaxed structure of ThCdGeAu.

E_tot in eV for the cell shown: -17.9
Energy of formation from the pure elements in eV per atom: -0.421
V in Å³/atom: 22.89
Space group: No. 216

Cell: 5.0588 5.0588 5.0588 Å, 60.00 60.00 60.00°
Last column: nearest neighbours and their distance in Å.
Element x y z (fractional)
1 Th 0.0000 0.0000 0.0000  4 Au 3.10, 4 Ge 3.10
2 Cd 0.5000 0.5000 0.5000  4 Au 3.10, 4 Ge 3.10
3 Ge 0.2500 0.2500 0.2500  4 Cd 3.10, 4 Th 3.10
4 Au 0.7500 0.7500 0.7500  4 Cd 3.10, 4 Th 3.10

[2]
DFT (GGA-PBE) results for a relaxed structure of Tl2CdGeAu.

E_tot in eV for the cell shown: -10.6
Energy of formation from the pure elements in eV per atom: 0.586
V in Å³/atom: 32.95
Space group: No. 123

Cell: 5.7255 5.7255 5.0255 Å, 90.00 90.00 90.00°
Last column: nearest neighbours and their distance in Å.
Element x y z (fractional)
1 Tl 0.0000 0.5000 0.0000  2 Cd 2.86
2 Tl 0.5000 0.0000 0.0000  2 Cd 2.86
3 Cd 0.0000 0.0000 0.0000  2 Ge 2.51
4 Ge 0.0000 0.0000 0.5000  2 Cd 2.51
5 Au 0.5000 0.5000 0.5000  8 Tl 3.81, 4 Ge 4.05

[3]
DFT (GGA-PBE) results for a relaxed structure of Tl2CdGe2Au7.

E_tot in eV for the cell shown: -38.3
Energy of formation from the pure elements in eV per atom: -0.038
V in Å³/atom: 22.51
Space group: No. 12

Cell: 4.3130 4.3130 14.6071 Å, 94.30 94.30 89.19°
Last column: nearest neighbours and their distance in Å.
Element x y z (fractional)
1 Tl 0.0564 0.0564 0.3776  4 Au 3.04-3.19
2 Tl 0.9436 0.9436 0.6224  4 Au 3.04-3.19
3 Cd 0.0000 0.0000 0.0000  12 Au 2.98-3.07
4 Ge 0.4382 0.4382 0.7582  5 Au 2.51-2.60
5 Ge 0.5618 0.5618 0.2418  5 Au 2.51-2.60
6 Au 0.0368 0.5366 0.1421  2 Ge 2.60
7 Au 0.4475 0.4475 0.5865  1 Ge 2.51, 1 Au 2.67
8 Au 0.4634 0.9632 0.8579  2 Ge 2.60
9 Au 0.5000 0.5000 0.0000  8 Au 2.98-2.99, 4 Cd 3.03-3.07
10 Au 0.5366 0.0368 0.1421  2 Ge 2.60
11 Au 0.5525 0.5525 0.4135  1 Ge 2.51, 1 Au 2.67
12 Au 0.9632 0.4634 0.8579  2 Ge 2.60

[4]
DFT (GGA-PBE) results for a relaxed structure of TmCdGeAu.

E_tot in eV for the cell shown: -15.2
Energy of formation from the pure elements in eV per atom: -0.481
V in Å³/atom: 20.94
Space group: No. 216

Cell: 4.9113 4.9113 4.9113 Å, 60.00 60.00 60.00°
Last column: nearest neighbours and their distance in Å.
Element x y z (fractional)
1 Tm 0.0000 0.0000 0.0000  4 Ge 3.01, 4 Au 3.01
2 Cd 0.5000 0.5000 0.5000  4 Au 3.01, 4 Ge 3.01
3 Ge 0.7500 0.7500 0.7500  4 Cd 3.01, 4 Tm 3.01
4 Au 0.2500 0.2500 0.2500  4 Cd 3.01, 4 Tm 3.01

[5]
DFT (GGA-PBE) results for a relaxed structure of ZnCd2GeAu6.

E_tot in eV for the cell shown: -27.7
Energy of formation from the pure elements in eV per atom: -0.030
V in Å³/atom: 20.68
Space group: No. 2

Cell: 4.9061 5.3885 8.0042 Å, 80.61 82.21 87.28°
Last column: nearest neighbours and their distance in Å.
Element x y z (fractional)
1 Zn 0.0000 0.0000 0.0000  4 Au 2.54-2.79
2 Cd 0.2379 0.3703 0.1617  6 Au 2.82-2.98, 1 Zn 2.91
3 Cd 0.7621 0.6297 0.8383  6 Au 2.82-2.98, 1 Zn 2.91
4 Ge 0.5000 0.5000 0.5000  6 Au 2.58-2.73
5 Au 0.1797 0.8394 0.3174  1 Ge 2.73, 1 Zn 2.79, 5 Au 2.80-2.98, 2 Cd 2.94-2.98
6 Au 0.2780 0.3495 0.8094  1 Zn 2.54, 1 Ge 2.58, 1 Cd 2.82
7 Au 0.3181 0.8837 0.6594  1 Ge 2.66, 4 Au 2.80-2.96, 1 Cd 2.93
8 Au 0.6819 0.1163 0.3406  1 Ge 2.66, 4 Au 2.80-2.96, 1 Cd 2.93
9 Au 0.7220 0.6505 0.1906  1 Zn 2.54, 1 Ge 2.58, 1 Cd 2.82
10 Au 0.8203 0.1606 0.6826  1 Ge 2.73, 1 Zn 2.79, 5 Au 2.80-2.98, 2 Cd 2.94-2.98

[6]
DFT (GGA-PBE) results for a relaxed structure of CdHAu.

E_tot in eV for the cell shown: -14.6
V in Å³/atom: 15.52
Space group: No. 2

Cell: 4.2203 4.9327 5.0770 Å, 104.41 108.63 100.24°
Last column: nearest neighbours and their distance in Å.
Element x y z (fractional)
1 Cd 0.0811 0.3581 0.2365  1 H 2.47
2 Cd 0.9189 0.6419 0.7635  1 H 2.47
3 H 0.5000 0.0000 0.0000  2 Au 1.84
4 H 0.5000 0.0000 0.5000  2 Au 1.81
5 Au 0.3415 0.2062 0.7540  2 H 1.81-1.84
6 Au 0.6585 0.7938 0.2460  2 H 1.81-1.84

[7]
DFT (GGA-PBE) results for a relaxed structure of CdHAu.

E_tot in eV for the cell shown: -7.3
V in Å³/atom: 15.74
Space group: No. 38

Cell: 2.9549 4.8929 4.8929 Å, 41.88 90.00 90.00°
Last column: nearest neighbours and their distance in Å.
Element x y z (fractional)
1 Cd 0.0000 0.0000 0.0000  2 H 2.81, 6 Au 2.93-3.07, 2 Cd 2.95
2 H 0.5000 0.2622 0.2622  2 Au 1.78
3 Au 0.5000 0.7231 0.7231  2 H 1.78

[8]
DFT (GGA-PBE) results for a relaxed structure of CdHAu.

E_tot in eV for the cell shown: -7.0
V in Å³/atom: 14.98
Space group: No. 156

Cell: 3.4112 3.4112 4.4609 Å, 90.00 90.00 120.00°
Last column: nearest neighbours and their distance in Å.
Element x y z (fractional)
1 Cd 0.0000 0.0000 0.0000  6 H 2.97-2.98, 6 Au 2.97-2.98
2 H 0.6667 0.3333 0.5013  3 Au 1.97
3 Au 0.3333 0.6667 0.4998  3 H 1.97

[9]
DFT (GGA-PBE) results for a relaxed structure of Cd2HAu2.

E_tot in eV for the cell shown: -21.8
V in Å³/atom: 17.32
Space group: No. 127

Cell: 5.7894 5.7894 5.1662 Å, 90.00 90.00 90.00°
Last column: nearest neighbours and their distance in Å.
Element x y z (fractional)
1 Cd 0.1749 0.3251 0.0000  2 H 2.14
2 Cd 0.3251 0.8251 0.0000  2 H 2.14
3 Cd 0.6749 0.1749 0.0000  2 H 2.14
4 Cd 0.8251 0.6749 0.0000  2 H 2.14
5 H 0.0000 0.0000 0.0000  4 Cd 2.14
6 H 0.5000 0.5000 0.0000  4 Cd 2.14
7 Au 0.1682 0.6682 0.5000  5 Au 2.75-3.05, 2 Cd 2.88
8 Au 0.3318 0.1682 0.5000  5 Au 2.75-3.05, 2 Cd 2.88
9 Au 0.6682 0.8318 0.5000  5 Au 2.75-3.05, 2 Cd 2.88
10 Au 0.8318 0.3318 0.5000  5 Au 2.75-3.05, 2 Cd 2.88

[10]
DFT (GGA-PBE) results for a relaxed structure of Cd4HAu2.

E_tot in eV for the cell shown: -13.2
V in Å³/atom: 19.40
Space group: No. 139

Cell: 8.5183 8.5183 8.5183 Å, 152.02 152.02 39.98°
Last column: nearest neighbours and their distance in Å.
Element x y z (fractional)
1 Cd 0.0000 0.5000 0.5000  2 H 2.06
2 Cd 0.1883 0.1883 0.0000  5 Au 2.82-3.03, 1 H 3.01
3 Cd 0.5000 0.0000 0.5000  2 H 2.06
4 Cd 0.8117 0.8117 0.0000  5 Au 2.82-3.03, 1 H 3.01
5 H 0.0000 0.0000 0.0000  4 Cd 2.06
6 Au 0.3642 0.3642 0.0000  9 Cd 2.82-3.03
7 Au 0.6358 0.6358 0.0000  9 Cd 2.82-3.03

[11]
DFT (GGA-PBE) results for a relaxed structure of CdHAu2.

E_tot in eV for the cell shown: -20.5
V in Å³/atom: 16.41
Space group: No. 122

Cell: 5.5761 5.5761 5.5761 Å, 113.93 113.93 100.88°
Last column: nearest neighbours and their distance in Å.
Element x y z (fractional)
1 Cd 0.0000 0.0000 0.0000  8 Au 2.87-3.16
2 Cd 0.7500 0.2500 0.5000  8 Au 2.87-3.16
3 H 0.2500 0.7500 0.5000  4 Au 1.92
4 H 0.5000 0.5000 0.0000  4 Au 1.92
5 Au 0.2469 0.6250 0.1219  2 H 1.92
6 Au 0.3750 0.4969 0.6219  2 H 1.92
7 Au 0.5031 0.1250 0.8781  2 H 1.92
8 Au 0.8750 0.7531 0.3781  2 H 1.92

[12]
DFT (GGA-PBE) results for a relaxed structure of CdHAu.

E_tot in eV for the cell shown: -14.7
V in Å³/atom: 15.26
Space group: No. 46

Cell: 4.9313 4.9313 4.9313 Å, 113.84 111.04 103.69°
Last column: nearest neighbours and their distance in Å.
Element x y z (fractional)
1 Cd 0.1666 0.2500 0.4166  2 H 2.55-2.66, 1 Au 2.85
2 Cd 0.8334 0.7500 0.5834  2 H 2.55-2.66, 1 Au 2.85
3 H 0.5578 0.9149 0.1429  2 Au 1.80-1.84
4 H 0.7721 0.4149 0.8571  2 Au 1.80-1.84
5 Au 0.2105 0.6157 0.0948  2 H 1.80-1.84
6 Au 0.5209 0.1157 0.9052  2 H 1.80-1.84